i) ## DyHo7Tm4 (PBE)

Data for DyHo7Tm4 after structural relaxation.

a = 6.7215 Å, b = 8.6125 Å, c = 8.9244 Å
α = 83.14°, β = 93.94°, γ = 47.49°
Element x y z (fractional)
1 Ho 0.5000 0.0000 0.0000
2 Ho 0.9825 0.3146 0.6419
3 Ho 0.2962 0.8081 0.6132
4 Ho 0.7352 0.5150 0.9497
5 Ho 0.0175 0.6854 0.3581
6 Ho 0.7038 0.1919 0.3868
7 Ho 0.2648 0.4850 0.0503
8 Tm 0.7741 0.8385 0.6863
9 Tm 0.5540 0.6420 0.2863
10 Tm 0.2259 0.1615 0.3137
11 Tm 0.4460 0.3580 0.7137
12 Dy 0.0000 0.0000 0.0000

Computed properties:
The total magnetic moment is 0.000 μB per atom. The calculation puts the density of states at the Fermi level at 1.722 states/eV/atom. The theoretical density is 8.9 g/cm3.

***

ii) ## DyHo7Tm4 (PBE)

Data for DyHo7Tm4 after structural relaxation.

a = 3.5070 Å, b = 3.5070 Å, c = 34.2787 Å
α = 90.00°, β = 90.00°, γ = 120.00°
Element x y z (fractional)
1 Ho 0.6667 0.3333 0.8339
2 Ho 0.0000 0.0000 0.2500
3 Ho 0.3333 0.6667 0.4160
4 Ho 0.3333 0.6667 0.1661
5 Ho 0.0000 0.0000 0.7500
6 Ho 0.0000 0.0000 0.0000
7 Ho 0.6667 0.3333 0.5840
8 Tm 0.3333 0.6667 0.6670
9 Tm 0.6667 0.3333 0.3330
10 Tm 0.3333 0.6667 0.9169
11 Tm 0.6667 0.3333 0.0831
12 Dy 0.0000 0.0000 0.5000

Computed properties:
The total magnetic moment is 0.000 μB per atom. The calculation puts the density of states at the Fermi level at 1.514 states/eV/atom. The theoretical density is 9.1 g/cm3.

***

Name the most stable of them. ii).

***

i) ## DyHo3Tm7 (PBE)

Data for DyHo3Tm7 after structural relaxation.

a = 8.4725 Å, b = 6.9385 Å, c = 6.9385 Å
α = 120.00°, β = 90.00°, γ = 90.00°
Element x y z (fractional)
1 Dy 0.4476 0.3333 0.6667
2 Tm 0.4474 0.3355 0.1677
3 Tm 0.1185 0.1677 0.3354
4 Tm 0.4474 0.8323 0.6645
5 Tm 0.1188 0.6667 0.3333
6 Tm 0.4474 0.8323 0.1677
7 Tm 0.1185 0.6646 0.8323
8 Tm 0.1185 0.1677 0.8323
9 Ho 0.7837 0.5001 0.4999
10 Ho 0.7837 0.9997 0.4999
11 Ho 0.7837 0.5001 0.0003

Computed properties:
The total magnetic moment is 0.000 μB per atom. The calculation puts the density of states at the Fermi level at 1.596 states/eV/atom. The theoretical density is 8.6 g/cm3.

***

ii) ## DyHo3Tm7 (PBE)

Data for DyHo3Tm7 after structural relaxation.

a = 8.7363 Å, b = 9.8040 Å, c = 5.4317 Å
α = 90.00°, β = 128.45°, γ = 105.59°
Element x y z (fractional)
1 Tm 0.0813 0.1689 0.0813
2 Tm 0.3531 0.7092 0.8532
3 Tm 0.8206 0.6409 0.3207
4 Tm 0.5000 0.0000 0.5000
5 Tm 0.9187 0.8311 0.9187
6 Tm 0.6469 0.2908 0.1468
7 Tm 0.1794 0.3591 0.6793
8 Ho 0.7785 0.9985 0.2783
9 Ho 0.0000 0.5000 0.0000
10 Ho 0.2215 0.0015 0.7217
11 Dy 0.5000 0.5000 0.5000

Computed properties:
The total magnetic moment is 0.000 μB per atom. The calculation puts the density of states at the Fermi level at 1.750 states/eV/atom. The theoretical density is 8.9 g/cm3.

***

Name the most stable of them. ii).

***

i) ## Dy2Ho7Tm3 (PBE)

Data for Dy2Ho7Tm3 after structural relaxation.

a = 3.4750 Å, b = 6.2474 Å, c = 17.6382 Å
α = 75.58°, β = 90.00°, γ = 90.00°
Element x y z (fractional)
1 Ho 0.0000 0.0000 0.0000
2 Ho 0.5000 0.9426 0.8317
3 Ho 0.0000 0.5598 0.1652
4 Ho 0.5000 0.2426 0.5017
5 Ho 0.5000 0.0574 0.1683
6 Ho 0.0000 0.4402 0.8348
7 Ho 0.5000 0.7574 0.4983
8 Dy 0.5000 0.6113 0.3271
9 Dy 0.5000 0.3887 0.6729
10 Tm 0.5000 0.5000 0.0000
11 Tm 0.0000 0.8932 0.6574
12 Tm 0.0000 0.1068 0.3426

Computed properties:
The total magnetic moment is 0.000 μB per atom. The calculation puts the density of states at the Fermi level at 1.439 states/eV/atom. The theoretical density is 8.9 g/cm3.

***

ii) ## Dy2Ho7Tm3 (PBE)

Data for Dy2Ho7Tm3 after structural relaxation.

a = 3.5563 Å, b = 5.6217 Å, c = 18.7923 Å
α = 98.60°, β = 90.00°, γ = 90.00°
Element x y z (fractional)
1 Ho 0.0000 0.0000 0.0000
2 Ho 0.0000 0.2312 0.4623
3 Ho 0.0000 0.5917 0.1833
4 Ho 0.0000 0.4083 0.8167
5 Ho 0.5000 0.0717 0.1433
6 Ho 0.0000 0.7688 0.5377
7 Ho 0.5000 0.9283 0.8567
8 Tm 0.5000 0.3150 0.6300
9 Tm 0.5000 0.6850 0.3700
10 Tm 0.5000 0.5000 0.0000
11 Dy 0.0000 0.8522 0.7045
12 Dy 0.0000 0.1478 0.2955

Computed properties:
The total magnetic moment is 0.000 μB per atom. The calculation puts the density of states at the Fermi level at 1.464 states/eV/atom. The theoretical density is 8.9 g/cm3.

***

Name the most stable of them. i).

***

i) ## Dy4Ho2Tm5 (PBE)

Data for Dy4Ho2Tm5 after structural relaxation.

a = 3.6116 Å, b = 9.7629 Å, c = 12.5192 Å
α = 123.71°, β = 81.71°, γ = 111.73°
Element x y z (fractional)
1 Ho 0.8902 0.2750 0.7697
2 Ho 0.1098 0.7250 0.2303
3 Tm 0.9233 0.0411 0.2361
4 Tm 0.5000 0.0000 0.0000
5 Tm 0.5795 0.8295 0.4997
6 Tm 0.0767 0.9589 0.7639
7 Tm 0.4205 0.1705 0.5003
8 Dy 0.7546 0.4261 0.3429
9 Dy 0.3255 0.3527 0.0545
10 Dy 0.6745 0.6473 0.9455
11 Dy 0.2454 0.5739 0.6571

Computed properties:
The total magnetic moment is 0.000 μB per atom. The calculation puts the density of states at the Fermi level at 1.570 states/eV/atom. The theoretical density is 8.9 g/cm3.

***

ii) ## Dy4Ho2Tm5 (PBE)

Data for Dy4Ho2Tm5 after structural relaxation.

a = 5.5723 Å, b = 9.1779 Å, c = 8.5617 Å
α = 122.49°, β = 108.99°, γ = 90.00°
Element x y z (fractional)
1 Dy 0.1601 0.2571 0.3202
2 Dy 0.2097 0.6726 0.4194
3 Dy 0.8399 0.7429 0.6798
4 Dy 0.7903 0.3274 0.5806
5 Tm 0.4128 0.5714 0.8255
6 Tm 0.5872 0.4286 0.1745
7 Tm 0.3154 0.1162 0.6308
8 Tm 0.6846 0.8838 0.3692
9 Tm 0.5000 0.0000 0.0000
10 Ho 0.0506 0.8022 0.1011
11 Ho 0.9494 0.1978 0.8989

Computed properties:
The total magnetic moment is 0.000 μB per atom. The calculation puts the density of states at the Fermi level at 1.720 states/eV/atom. The theoretical density is 8.9 g/cm3.

***

Name the most stable of them. i).

***

i) ## Dy6HoTm4 (PBE)

Data for Dy6HoTm4 after structural relaxation.

a = 6.4862 Å, b = 6.4862 Å, c = 9.6238 Å
α = 109.69°, β = 109.69°, γ = 90.00°
Element x y z (fractional)
1 Tm 0.6890 0.0484 0.7374
2 Tm 0.9516 0.9516 0.2626
3 Tm 0.0484 0.6890 0.7374
4 Tm 0.3110 0.3110 0.2626
5 Dy 0.1394 0.1394 0.6525
6 Dy 0.0000 0.5000 0.0000
7 Dy 0.8606 0.4869 0.3475
8 Dy 0.4869 0.8606 0.3475
9 Dy 0.5131 0.5131 0.6525
10 Dy 0.5000 0.0000 0.0000
11 Ho 0.5000 0.5000 0.0000

Computed properties:
The total magnetic moment is 0.000 μB per atom. The calculation puts the density of states at the Fermi level at 1.289 states/eV/atom. The theoretical density is 8.5 g/cm3.

***

ii) ## Dy6HoTm4 (PBE)

Data for Dy6HoTm4 after structural relaxation.

a = 5.6188 Å, b = 5.5438 Å, c = 25.4024 Å
α = 90.00°, β = 90.00°, γ = 120.45°
Element x y z (fractional)
1 Dy 0.5193 0.0386 0.7500
2 Dy 0.1469 0.2937 0.3185
3 Dy 0.8147 0.6294 0.3967
4 Dy 0.5000 0.0000 0.0000
5 Dy 0.8531 0.7063 0.8185
6 Dy 0.5000 0.0000 0.5000
7 Dy 0.1469 0.2937 0.1815
8 Dy 0.8531 0.7063 0.6815
9 Dy 0.4807 0.9614 0.2500
10 Dy 0.1853 0.3706 0.6033
11 Dy 0.1853 0.3706 0.8967
12 Dy 0.8147 0.6294 0.1033
13 Ho 0.1850 0.3700 0.7500
14 Ho 0.8150 0.6300 0.2500
15 Tm 0.4778 0.9556 0.3783
16 Tm 0.1591 0.3182 0.4572
17 Tm 0.4778 0.9556 0.1217
18 Tm 0.1591 0.3182 0.0428
19 Tm 0.8409 0.6818 0.5428
20 Tm 0.5222 0.0444 0.6217
21 Tm 0.5222 0.0444 0.8783
22 Tm 0.8409 0.6818 0.9572

Computed properties:
The total magnetic moment is 0.000 μB per atom. The calculation puts the density of states at the Fermi level at 1.694 states/eV/atom. The theoretical density is 8.8 g/cm3.

***

Name the most stable of them. ii).

***

i) ## Dy5Ho2Tm4 (PBE)

Data for Dy5Ho2Tm4 after structural relaxation.

a = 6.5384 Å, b = 6.5384 Å, c = 9.1195 Å
α = 75.72°, β = 75.72°, γ = 67.21°
Element x y z (fractional)
1 Ho 0.1463 0.1463 0.8791
2 Ho 0.8537 0.8537 0.1209
3 Tm 0.3321 0.3321 0.1211
4 Tm 0.6832 0.6832 0.5010
5 Tm 0.3168 0.3168 0.4990
6 Tm 0.6679 0.6679 0.8789
7 Dy 0.3476 0.7888 0.2232
8 Dy 0.7888 0.3476 0.2232
9 Dy 0.6524 0.2112 0.7768
10 Dy 0.2112 0.6524 0.7768
11 Dy 0.0000 0.0000 0.5000

Computed properties:
The total magnetic moment is 0.000 μB per atom. The calculation puts the density of states at the Fermi level at 1.666 states/eV/atom. The theoretical density is 8.8 g/cm3.

***

ii) ## Dy5Ho2Tm4 (PBE)

Data for Dy5Ho2Tm4 after structural relaxation.

a = 3.4592 Å, b = 8.8947 Å, c = 12.4499 Å
α = 110.93°, β = 97.99°, γ = 90.00°
Element x y z (fractional)
1 Dy 0.5000 0.0000 0.0000
2 Dy 0.8561 0.0543 0.7121
3 Dy 0.8561 0.6578 0.7121
4 Dy 0.1439 0.3422 0.2879
5 Dy 0.1439 0.9457 0.2879
6 Tm 0.5969 0.5969 0.1939
7 Tm 0.0000 0.6878 0.0000
8 Tm 0.4031 0.4031 0.8061
9 Tm 0.0000 0.3122 0.0000
10 Ho 0.2687 0.2687 0.5373
11 Ho 0.7313 0.7313 0.4627

Computed properties:
The total magnetic moment is 0.000 μB per atom. The calculation puts the density of states at the Fermi level at 1.477 states/eV/atom. The theoretical density is 8.5 g/cm3.

***

Name the most stable of them. i).

***

i) ## Dy2Ho3Tm6 (PBE)

Data for Dy2Ho3Tm6 after structural relaxation.

a = 3.5040 Å, b = 3.5040 Å, c = 31.4030 Å
α = 86.80°, β = 86.80°, γ = 60.00°
Element x y z (fractional)
1 Tm 0.1817 0.1817 0.4550
2 Tm 0.8183 0.8183 0.5450
3 Tm 0.9091 0.9091 0.2728
4 Tm 0.0909 0.0909 0.7272
5 Tm 0.6363 0.6363 0.0910
6 Tm 0.3637 0.3637 0.9090
7 Ho 0.2727 0.2727 0.1819
8 Ho 0.0000 0.0000 0.0000
9 Ho 0.7273 0.7273 0.8181
10 Dy 0.5454 0.5454 0.3639
11 Dy 0.4546 0.4546 0.6361

Computed properties:
The total magnetic moment is 0.000 μB per atom. The calculation puts the density of states at the Fermi level at 1.435 states/eV/atom. The theoretical density is 9.1 g/cm3.

***

ii) ## Dy2Ho3Tm6 (PBE)

Data for Dy2Ho3Tm6 after structural relaxation.

a = 4.6586 Å, b = 4.6586 Å, c = 16.7064 Å
α = 98.01°, β = 98.01°, γ = 90.00°
Element x y z (fractional)
1 Ho 0.0000 0.0000 0.0000
2 Ho 0.2011 0.2011 0.4021
3 Ho 0.7989 0.7989 0.5979
4 Tm 0.3782 0.8782 0.7563
5 Tm 0.3046 0.3046 0.6093
6 Tm 0.1218 0.6218 0.2437
7 Tm 0.6954 0.6954 0.3907
8 Tm 0.6218 0.1218 0.2437
9 Tm 0.8782 0.3782 0.7563
10 Dy 0.4537 0.4537 0.9074
11 Dy 0.5463 0.5463 0.0926

Computed properties:
The total magnetic moment is 0.000 μB per atom. The calculation puts the density of states at the Fermi level at 1.587 states/eV/atom. The theoretical density is 8.6 g/cm3.

***

Name the most stable of them. i).

***

i) ## Dy8HoTm2 (PBE)

Data for Dy8HoTm2 after structural relaxation.

a = 11.1562 Å, b = 15.3716 Å, c = 15.3569 Å
α = 22.88°, β = 150.59°, γ = 160.61°
Element x y z (fractional)
1 Dy 0.4540 0.7271 0.0907
2 Dy 0.8174 0.9081 0.3641
3 Dy 0.2727 0.6367 0.4540
4 Dy 0.1826 0.0919 0.6359
5 Dy 0.5460 0.2729 0.9093
6 Dy 0.3635 0.1820 0.2724
7 Dy 0.7273 0.3633 0.5460
8 Dy 0.6365 0.8180 0.7276
9 Tm 0.9086 0.4542 0.1819
10 Tm 0.0914 0.5458 0.8181
11 Ho 0.0000 0.0000 0.0000

Computed properties:
The total magnetic moment is 0.000 μB per atom. The calculation puts the density of states at the Fermi level at 1.435 states/eV/atom. The theoretical density is 8.8 g/cm3.

***

ii) ## Dy8HoTm2 (PBE)

Data for Dy8HoTm2 after structural relaxation.

a = 6.5746 Å, b = 10.0872 Å, c = 10.0872 Å
α = 38.09°, β = 59.66°, γ = 59.66°
Element x y z (fractional)
1 Dy 0.2283 0.8259 0.3507
2 Dy 0.7717 0.1741 0.6493
3 Dy 0.2283 0.3507 0.8259
4 Dy 0.2735 0.4098 0.4098
5 Dy 0.1744 0.7561 0.7561
6 Dy 0.8256 0.2439 0.2439
7 Dy 0.7717 0.6493 0.1741
8 Dy 0.7265 0.5902 0.5902
9 Tm 0.6020 0.7981 0.7981
10 Tm 0.3980 0.2019 0.2019
11 Ho 0.0000 0.0000 0.0000

Computed properties:
The total magnetic moment is 0.000 μB per atom. The calculation puts the density of states at the Fermi level at 1.583 states/eV/atom. The theoretical density is 8.6 g/cm3.

***

Name the most stable of them. i).